No. 1
Ac2TmSn4Au3 | PBE | relaxed

Summary:
space group: No. 115
ΔE_f: -6.52 eV/f.u.

abc: 4.6765 4.6765 12.4038
angles: 90.00 90.00 90.00
Last column: nearest neighbours and their distance in Å.
Atoms (fractional coordinates):
Ac 0.0000 0.5000 0.2389  4 Au 3.56, 8 Sn 3.60-3.77
Ac 0.5000 0.0000 0.7611  4 Au 3.56, 8 Sn 3.60-3.77
Tm 0.0000 0.0000 0.5000  4 Sn 2.97, 4 Au 3.31
Sn 0.0000 0.0000 0.0000  4 Au 2.87
Sn 0.0000 0.5000 0.6471  3 Au 2.72-2.97, 2 Tm 2.97
Sn 0.5000 0.0000 0.3529  3 Au 2.72-2.97, 2 Tm 2.97
Sn 0.5000 0.5000 0.0000  4 Au 2.87
Au 0.0000 0.5000 0.8663  5 Sn 2.72-2.87
Au 0.5000 0.0000 0.1337  5 Sn 2.72-2.87
Au 0.5000 0.5000 0.5000  4 Sn 2.97, 4 Tm 3.31

***

No. 2
PuTlGe4 | PBE | relaxed

Summary:
space group: No. 216
ΔE_f: -0.24 eV/f.u.

abc: 5.6636 5.6636 5.6636
angles: 60.00 60.00 60.00
Last column: nearest neighbours and their distance in Å.
Atoms (fractional coordinates):
Pu 0.0000 0.0000 0.0000  12 Ge 3.32, 4 Tl 3.47
Tl 0.2500 0.2500 0.2500  12 Ge 3.32, 4 Pu 3.47
Ge 0.1222 0.6259 0.6259  6 Ge 2.81-2.85
Ge 0.6259 0.1222 0.6259  6 Ge 2.81-2.85
Ge 0.6259 0.6259 0.1222  6 Ge 2.81-2.85
Ge 0.6259 0.6259 0.6259  6 Ge 2.81-2.85

***

No. 3
Cs2Li2Cd | PBE | relaxed

Summary:
space group: No. 139
energy above the lowest structure with this stoichiometry: 0.029 eV per atom
ΔE_f: 0.85 eV/f.u.

abc: 6.9674 6.9674 6.9674
angles: 113.80 113.80 101.12
Last column: nearest neighbours and their distance in Å.
Atoms (fractional coordinates):
Cs 0.2500 0.7500 0.5000  4 Li 3.88
Cs 0.7500 0.2500 0.5000  4 Li 3.88
Li 0.1666 0.1666 0.0000  1 Li 2.95, 1 Cd 2.95
Li 0.8334 0.8334 0.0000  1 Li 2.95, 1 Cd 2.95
Cd 0.5000 0.5000 0.0000  2 Li 2.95